No. 1
This record from the Alexandria database describes a relaxed Hg4Br3 crystal. The functional is PBE.

a = 5.7111 Å, b = 5.7111 Å, c = 9.3999 Å
α = 90.00°, β = 90.00°, γ = 120.00°
Last column: nearest neighbours and their distance in Å.
Space group P6/mmm (No. 191)
Asymmetric unit:
1 Hg 0.0000 0.0000 0.1793 (multiplicity 2)  7 Hg 3.37-3.70
2 Hg 0.3333 0.6667 0.0000 (multiplicity 2)  3 Hg 3.30
3 Br 0.0000 0.5000 0.5000 (multiplicity 3)  4 Br 2.86

Computed properties:
The relative energy among the computed polymorphs comes out at 0.149 eV/atom. The uncorrected energy comes out at -0.0577 Ry/atom. Its formation energy without anion corrections is 0.7 eV per formula unit.


No. 2
This record from the Alexandria database describes a relaxed Sb2TeSe2 crystal. The functional is PBE.

a = 4.1551 Å, b = 4.1551 Å, c = 30.5520 Å
α = 90.00°, β = 90.00°, γ = 120.00°
Last column: nearest neighbours and their distance in Å.
Space group R3m (No. 160, hexagonal axes)
Asymmetric unit:
1 Sb 0.0000 0.0000 0.0000 (multiplicity 3)  6 Se 2.84-3.02
2 Sb 0.0000 0.0000 0.2126 (multiplicity 3)  3 Te 2.99, 3 Se 3.03
3 Te 0.0000 0.0000 0.8209 (multiplicity 3)  3 Sb 2.99
4 Se 0.0000 0.0000 0.3830 (multiplicity 3)  3 Sb 2.84
5 Se 0.0000 0.0000 0.6068 (multiplicity 3)  6 Sb 3.02-3.03

Computed properties:
The relative energy among the computed polymorphs comes out at 0.000 eV/atom. The uncorrected energy comes out at -0.2865 Ry/atom. Its formation energy without anion corrections is -1.1 eV per formula unit.


No. 3
This record from the Alexandria database describes a relaxed Cs2TbSbS4 crystal. The functional is PBE.

a = 7.0105 Å, b = 15.1886 Å, c = 25.0557 Å
α = 90.00°, β = 90.00°, γ = 90.00°
Last column: nearest neighbours and their distance in Å.
Space group Fddd (No. 70, origin choice 2)
Asymmetric unit:
1 Cs 0.1250 0.1250 0.3065 (multiplicity 16)  8 S 3.82-4.28
2 Tb 0.1250 0.1250 0.1250 (multiplicity 8)  4 S 2.59
3 Sb 0.1250 0.1250 0.6250 (multiplicity 8)  4 S 2.66
4 S 0.1182 0.2792 0.4269 (multiplicity 32)  1 Tb 2.59, 1 Sb 2.66

Computed properties:
The uncorrected energy comes out at -0.3266 Ry/atom. Its formation energy without anion corrections is -8.6 eV per formula unit.


No. 4
This record from the Alexandria database describes a relaxed MnFeCu2 crystal. The functional is PBE.

a = 5.1276 Å, b = 7.3975 Å, c = 2.6132 Å
α = 90.00°, β = 90.00°, γ = 90.00°
Last column: nearest neighbours and their distance in Å.
Space group Cmmm (No. 65)
Asymmetric unit:
1 Mn 0.0000 0.0000 0.0000 (multiplicity 2)  2 Fe 2.56, 8 Cu 2.60, 2 Mn 2.61
2 Fe 0.0000 0.5000 0.0000 (multiplicity 2)  2 Mn 2.56, 8 Cu 2.60, 2 Fe 2.61
3 Cu 0.2500 0.2500 0.5000 (multiplicity 4)  4 Cu 2.56-2.61, 4 Mn 2.60, 4 Fe 2.60

Computed properties:
As for the energy of formation: 0.19 eV per atom. The uncorrected energy comes out at -0.4607 Ry/atom.


Please write out number 3 again, unchanged.
This record from the Alexandria database describes a relaxed Cs2TbSbS4 crystal. The functional is PBE.

a = 7.0105 Å, b = 15.1886 Å, c = 25.0557 Å
α = 90.00°, β = 90.00°, γ = 90.00°
Last column: nearest neighbours and their distance in Å.
Space group Fddd (No. 70, origin choice 2)
Asymmetric unit:
1 Cs 0.1250 0.1250 0.3065 (multiplicity 16)  8 S 3.82-4.28
2 Tb 0.1250 0.1250 0.1250 (multiplicity 8)  4 S 2.59
3 Sb 0.1250 0.1250 0.6250 (multiplicity 8)  4 S 2.66
4 S 0.1182 0.2792 0.4269 (multiplicity 32)  1 Tb 2.59, 1 Sb 2.66

Computed properties:
The uncorrected energy comes out at -0.3266 Ry/atom. Its formation energy without anion corrections is -8.6 eV per formula unit.